This record from Alexandria via LeMat-Bulk describes crystalline CrCu3 at its relaxed geometry. The functional is PBEsol.

```
CrCu3
1.0
-1.9083 0.9521 -1.1732
-1.3922 -0.8599 4.0917
1.5999 4.1383 0.7558
Cr Cu
1 3
Cartesian
0.0000 0.0000 0.0000 Cr
-1.7294 1.3212 1.3603 Cu
-0.1542 2.5452 -0.2087 Cu
0.0289 2.9093 2.3140 Cu
```

- Magnetic moment: 0.470 μB per atom
- Density of states at the Fermi level: 0.68 states/eV per atom
- Symmetry: C2/m
- E_form: 267 meV per atom
- Total energy: -22.18 eV per cell